A plane-wave DFT calculation with GGA-PBE was carried out for a geometry-optimized LaB2RhI structure.

Cell and atoms, written as extended XYZ:
```
5
Lattice="4.264 0.000 0.000 0.000 5.461 0.000 0.000 0.000 4.264" Properties=species:S:1:pos:R:3 pbc="T T T"
Rh 0.000 0.000 0.000
B 2.132 0.000 0.000
B 0.000 0.000 2.132
I 0.000 2.730 0.000
La 2.132 2.730 2.132
```

Output
symmetry: No. 123
uncorrected formation energy: 337 meV/atom
DOS(E_F): 4.2 states/eV per cell
E: -5.100 eV per atom